Record 1
An optimized crystal structure of Sm2AlZnPt2. Source: Alexandria via LeMat-Bulk, functional PBE.

Total moment, μB per formula unit: 0.0
Formation energy, meV/atom: -959

Cell lengths 8.2119, 8.2119, 8.2119 Å; angles 137.26, 62.01, 137.30 degrees
With the nearest neighbours (Å) after each atom.
Fractional positions:
Sm1 0.1709 0.2348 0.4057  5 Pt 3.02-3.10, 2 Zn 3.16, 2 Al 3.25
Sm2 0.3291 0.7348 0.0639  5 Pt 3.02-3.10, 2 Zn 3.16, 2 Al 3.25
Sm3 0.6709 0.2652 0.9361  5 Pt 3.02-3.10, 2 Zn 3.16, 2 Al 3.25
Sm4 0.8291 0.7652 0.5943  5 Pt 3.02-3.10, 2 Zn 3.16, 2 Al 3.25
Al1 0.2500 0.7500 0.5000  4 Pt 2.61
Al2 0.7500 0.2500 0.5000  4 Pt 2.61
Zn1 0.2500 0.2500 0.0000  4 Pt 2.71, 2 Zn 2.99, 2 Al 2.99
Zn2 0.7500 0.7500 0.0000  4 Pt 2.71, 2 Zn 2.99, 2 Al 2.99
Pt1 0.1144 0.7346 0.8490  2 Al 2.61, 2 Zn 2.71
Pt2 0.3856 0.2346 0.6203  2 Al 2.61, 2 Zn 2.71
Pt3 0.6144 0.7654 0.3797  2 Al 2.61, 2 Zn 2.71
Pt4 0.8856 0.2654 0.1510  2 Al 2.61, 2 Zn 2.71



Record 2
An optimized crystal structure of Pm6TaTe12. Source: Alexandria via LeMat-Bulk, functional PBE.

Formation energy without anion corrections, eV/atom: -1.09
Total moment, μB per formula unit: 0.0

Cell lengths 8.8586, 8.8586, 8.8586 Å; angles 98.94, 98.94, 98.94 degrees
With the nearest neighbours (Å) after each atom.
Fractional positions:
Pm1 0.1335 0.6430 0.3047  7 Te 3.12-3.35
Pm2 0.3047 0.1335 0.6430  7 Te 3.12-3.35
Pm3 0.3570 0.6953 0.8665  7 Te 3.12-3.35
Pm4 0.6430 0.3047 0.1335  7 Te 3.12-3.35
Pm5 0.6953 0.8665 0.3570  7 Te 3.12-3.35
Pm6 0.8665 0.3570 0.6953  7 Te 3.12-3.35
Ta1 0.0000 0.0000 0.0000  6 Te 2.80
Te1 0.0136 0.6832 0.9373  1 Ta 2.80
Te2 0.0627 0.9864 0.3168  1 Ta 2.80
Te3 0.1802 0.4302 0.5716  4 Pm 3.12-3.26
Te4 0.3168 0.0627 0.9864  1 Ta 2.80
Te5 0.4284 0.8198 0.5698  4 Pm 3.12-3.26
Te6 0.4302 0.5716 0.1802  4 Pm 3.12-3.26
Te7 0.5698 0.4284 0.8198  4 Pm 3.12-3.26
Te8 0.5716 0.1802 0.4302  4 Pm 3.12-3.26
Te9 0.6832 0.9373 0.0136  1 Ta 2.80
Te10 0.8198 0.5698 0.4284  4 Pm 3.12-3.26
Te11 0.9373 0.0136 0.6832  1 Ta 2.80
Te12 0.9864 0.3168 0.0627  1 Ta 2.80



Record 3
An optimized crystal structure of HfAgPdSe2. Source: Alexandria via LeMat-Bulk, functional PBE.

Formation energy without anion corrections, eV/atom: 0.44
Total moment, μB per formula unit: 0.0

Cell lengths 4.8518, 4.8518, 4.8952 Å; angles 90.00, 90.00, 90.00 degrees
With the nearest neighbours (Å) after each atom.
Fractional positions:
Hf1 0.0000 0.0000 0.0000  4 Ag 3.43, 8 Se 3.45
Ag1 0.5000 0.5000 0.0000  2 Pd 2.45
Pd1 0.5000 0.5000 0.5000  4 Se 2.43, 2 Ag 2.45
Se1 0.0000 0.5000 0.5000  2 Pd 2.43
Se2 0.5000 0.0000 0.5000  2 Pd 2.43



Record 4
An optimized crystal structure of Y2TlSb. Source: Alexandria via LeMat-Bulk, functional PBE.

Formation energy without anion corrections, eV/atom: -0.61
Total moment, μB per formula unit: 0.0

Cell lengths 8.6197, 8.6197, 8.6197 Å; angles 27.81, 27.81, 27.81 degrees
With the nearest neighbours (Å) after each atom.
Fractional positions:
Y1 0.0000 0.0000 0.0000  3 Sb 3.06, 3 Tl 3.30
Y2 0.1824 0.1824 0.1824  3 Sb 3.02, 3 Tl 3.29
Tl1 0.7583 0.7583 0.7583  6 Y 3.29-3.30
Sb1 0.5901 0.5901 0.5901  6 Y 3.02-3.06



Record 5
An optimized crystal structure of Cr2TcPt. Source: Alexandria via LeMat-Bulk, functional PBE.

Total moment, μB per formula unit: 0.0
Formation energy, meV/atom: -40

Cell lengths 4.5684, 4.5684, 4.5684 Å; angles 130.60, 130.60, 72.45 degrees
With the nearest neighbours (Å) after each atom.
Fractional positions:
Cr1 0.2500 0.7500 0.5000  4 Tc 2.65, 4 Pt 2.65, 4 Cr 2.70
Cr2 0.7500 0.2500 0.5000  4 Tc 2.65, 4 Pt 2.65, 4 Cr 2.70
Tc1 0.0000 0.0000 0.0000  8 Cr 2.65, 4 Pt 2.70
Pt1 0.5000 0.5000 0.0000  8 Cr 2.65, 4 Tc 2.70



Record 6
An optimized crystal structure of FeAgMoS2. Source: Alexandria via LeMat-Bulk, functional PBE.

Formation energy without anion corrections, eV/atom: 0.85
Total moment, μB per formula unit: 0.0

Cell lengths 4.3374, 4.3374, 4.5849 Å; angles 90.00, 90.00, 90.00 degrees
With the nearest neighbours (Å) after each atom.
Fractional positions:
Fe1 0.0000 0.0000 0.0000  4 S 2.17, 2 Mo 2.29
Ag1 0.5000 0.5000 0.5000  4 Mo 3.07, 8 S 3.16
Mo1 0.0000 0.0000 0.5000  2 Fe 2.29
S1 0.0000 0.5000 0.0000  2 Fe 2.17
S2 0.5000 0.0000 0.0000  2 Fe 2.17



Record 7
An optimized crystal structure of La12Pd3O5. Source: Alexandria via LeMat-Bulk, functional PBE.

Formation energy without anion corrections, eV/atom: -1.57
Total moment, μB per formula unit: 0.2

Cell lengths 13.9602, 13.9602, 13.9602 Å; angles 109.47, 109.47, 109.47 degrees
With the nearest neighbours (Å) after each atom.
Fractional positions:
La1 0.0192 0.2045 0.1137  1 O 2.34
La2 0.0192 0.3148 0.9055  1 O 2.34
La3 0.0908 0.7045 0.6852  1 O 2.34
La4 0.0908 0.8863 0.4055  1 O 2.34
La5 0.0945 0.6137 0.4092  1 O 2.34
La6 0.0945 0.9808 0.6852  1 O 2.34
La7 0.1137 0.0192 0.2045  1 O 2.34
La8 0.1137 0.5945 0.9092  1 O 2.34
La9 0.1852 0.2045 0.5908  1 O 2.34
La10 0.1852 0.4808 0.5945  1 O 2.34
La11 0.2045 0.1137 0.0192  1 O 2.34
La12 0.2045 0.5908 0.1852  1 O 2.34
La13 0.2955 0.3148 0.9092  1 O 2.34
La14 0.2955 0.4808 0.3863  1 O 2.34
La15 0.3148 0.9055 0.0192  1 O 2.34
La16 0.3148 0.9092 0.2955  1 O 2.34
La17 0.3863 0.2955 0.4808  1 O 2.34
La18 0.3863 0.5908 0.9055  1 O 2.34
La19 0.4055 0.0908 0.8863  1 O 2.34
La20 0.4055 0.8148 0.5192  1 O 2.34
La21 0.4092 0.0945 0.6137  1 O 2.34
La22 0.4092 0.8148 0.7955  1 O 2.34
La23 0.4808 0.3863 0.2955  1 O 2.34
La24 0.4808 0.5945 0.1852  1 O 2.34
La25 0.5192 0.4055 0.8148  1 O 2.34
La26 0.5192 0.6137 0.7045  1 O 2.34
La27 0.5908 0.1852 0.2045  1 O 2.34
La28 0.5908 0.9055 0.3863  1 O 2.34
La29 0.5945 0.1852 0.4808  1 O 2.34
La30 0.5945 0.9092 0.1137  1 O 2.34
La31 0.6137 0.4092 0.0945  1 O 2.34
La32 0.6137 0.7045 0.5192  1 O 2.34
La33 0.6852 0.0908 0.7045  1 O 2.34
La34 0.6852 0.0945 0.9808  1 O 2.34
La35 0.7045 0.5192 0.6137  1 O 2.34
La36 0.7045 0.6852 0.0908  1 O 2.34
La37 0.7955 0.4092 0.8148  1 O 2.34
La38 0.7955 0.8863 0.9808  1 O 2.34
La39 0.8148 0.5192 0.4055  1 O 2.34
La40 0.8148 0.7955 0.4092  1 O 2.34
La41 0.8863 0.4055 0.0908  1 O 2.34
La42 0.8863 0.9808 0.7955  1 O 2.34
La43 0.9055 0.0192 0.3148  1 O 2.34
La44 0.9055 0.3863 0.5908  1 O 2.34
La45 0.9092 0.1137 0.5945  1 O 2.34
La46 0.9092 0.2955 0.3148  1 O 2.34
La47 0.9808 0.6852 0.0945  1 O 2.34
La48 0.9808 0.7955 0.8863  1 O 2.34
Pd1 0.1250 0.2500 0.3750  8 La 3.18-3.22
Pd2 0.1250 0.3750 0.7500  8 La 3.18-3.22
Pd3 0.2500 0.3750 0.1250  8 La 3.18-3.22
Pd4 0.2500 0.8750 0.6250  8 La 3.18-3.22
Pd5 0.3750 0.1250 0.2500  8 La 3.18-3.22
Pd6 0.3750 0.7500 0.1250  8 La 3.18-3.22
Pd7 0.6250 0.2500 0.8750  8 La 3.18-3.22
Pd8 0.6250 0.8750 0.7500  8 La 3.18-3.22
Pd9 0.7500 0.1250 0.3750  8 La 3.18-3.22
Pd10 0.7500 0.6250 0.8750  8 La 3.18-3.22
Pd11 0.8750 0.6250 0.2500  8 La 3.18-3.22
Pd12 0.8750 0.7500 0.6250  8 La 3.18-3.22
O1 0.0000 0.0000 0.0000  6 La 2.63
O2 0.0000 0.0000 0.5000  6 La 2.63
O3 0.0000 0.5000 0.0000  6 La 2.63
O4 0.0000 0.5000 0.5000  6 La 2.63
O5 0.1250 0.7500 0.8750  4 La 2.34
O6 0.1250 0.8750 0.2500  4 La 2.34
O7 0.2500 0.1250 0.8750  4 La 2.34
O8 0.2500 0.6250 0.3750  4 La 2.34
O9 0.3750 0.2500 0.6250  4 La 2.34
O10 0.3750 0.6250 0.7500  4 La 2.34
O11 0.5000 0.0000 0.0000  6 La 2.63
O12 0.5000 0.0000 0.5000  6 La 2.63
O13 0.5000 0.5000 0.0000  6 La 2.63
O14 0.5000 0.5000 0.5000  6 La 2.63
O15 0.6250 0.3750 0.2500  4 La 2.34
O16 0.6250 0.7500 0.3750  4 La 2.34
O17 0.7500 0.3750 0.6250  4 La 2.34
O18 0.7500 0.8750 0.1250  4 La 2.34
O19 0.8750 0.1250 0.7500  4 La 2.34
O20 0.8750 0.2500 0.1250  4 La 2.34



Record 8
An optimized crystal structure of PuGeMo. Source: Alexandria via LeMat-Bulk, functional PBE.

Total moment, μB per formula unit: 6.0
Formation energy, meV/atom: -226

Cell lengths 3.9057, 3.9057, 7.9260 Å; angles 90.00, 90.00, 90.00 degrees
With the nearest neighbours (Å) after each atom.
Fractional positions:
Pu1 0.2500 0.2500 0.1333  5 Ge 2.96-3.19
Pu2 0.7500 0.7500 0.8667  5 Ge 2.96-3.19
Ge1 0.2500 0.2500 0.7310  4 Mo 2.68, 4 Pu 2.96
Ge2 0.7500 0.7500 0.2690  4 Mo 2.68, 4 Pu 2.96
Mo1 0.2500 0.7500 0.5000  4 Ge 2.68, 4 Mo 2.76
Mo2 0.7500 0.2500 0.5000  4 Ge 2.68, 4 Mo 2.76



Record 9
An optimized crystal structure of Ce2Pu3PaSe6. Source: Alexandria via LeMat-Bulk, functional PBE.

Formation energy without anion corrections, eV/atom: -1.25
Total moment, μB per formula unit: 10.7

Cell lengths 8.8415, 8.8415, 10.1613 Å; angles 105.26, 105.26, 24.49 degrees
With the nearest neighbours (Å) after each atom.
Fractional positions:
Ce1 0.1568 0.1568 0.3549  5 Se 2.87-2.98
Ce2 0.8432 0.8432 0.6451  5 Se 2.87-2.98
Pu1 0.3323 0.3323 0.1425  6 Se 2.85-3.10
Pu2 0.5000 0.5000 0.5000  6 Se 2.85-3.14
Pu3 0.6677 0.6677 0.8575  6 Se 2.85-3.10
Pa1 0.5000 0.5000 0.0000  8 Se 3.13-3.22
Se1 0.0211 0.0211 0.7547  1 Ce 2.98, 4 Pu 3.10-3.14, 2 Pa 3.22
Se2 0.1507 0.1507 0.0702  1 Ce 2.87, 3 Pu 2.94-3.02, 2 Pa 3.13
Se3 0.3290 0.3290 0.4217  2 Pu 2.85, 3 Ce 2.87-2.90
Se4 0.6710 0.6710 0.5783  2 Pu 2.85, 3 Ce 2.87-2.90
Se5 0.8493 0.8493 0.9298  1 Ce 2.87, 3 Pu 2.94-3.02, 2 Pa 3.13
Se6 0.9789 0.9789 0.2453  1 Ce 2.98, 4 Pu 3.10-3.14, 2 Pa 3.22



Record 10
An optimized crystal structure of Pm5Pr2Sm5. Source: Alexandria via LeMat-Bulk, functional PBE.

Total moment, μB per formula unit: 0.0
Formation energy, meV/atom: 14

Cell lengths 8.1758, 8.1758, 11.5526 Å; angles 115.13, 115.13, 36.80 degrees
With the nearest neighbours (Å) after each atom.
Fractional positions:
Pm1 0.0000 0.0000 0.0000  4 Pr 3.65, 2 Pm 3.66, 6 Sm 3.66
Pm2 0.0842 0.0842 0.7503  7 Sm 3.63-3.65, 3 Pm 3.65-3.66, 2 Pr 3.66
Pm3 0.1664 0.1664 0.5001  4 Pm 3.65-3.66, 5 Sm 3.65-3.66, 3 Pr 3.66
Pm4 0.8336 0.8336 0.4999  4 Pm 3.65-3.66, 5 Sm 3.65-3.66, 3 Pr 3.66
Pm5 0.9158 0.9158 0.2497  7 Sm 3.63-3.65, 3 Pm 3.65-3.66, 2 Pr 3.66
Pr1 0.4168 0.4168 0.7506  7 Pm 3.65-3.66, 5 Sm 3.66
Pr2 0.5832 0.5832 0.2494  7 Pm 3.65-3.66, 5 Sm 3.66
Sm1 0.2508 0.2508 0.2502  6 Pm 3.64-3.66, 4 Sm 3.64-3.65, 2 Pr 3.66
Sm2 0.3325 0.3325 0.9997  5 Pm 3.63-3.66, 5 Sm 3.64-3.65, 2 Pr 3.66
Sm3 0.5000 0.5000 0.5000  2 Sm 3.65, 8 Pm 3.65, 2 Pr 3.66
Sm4 0.6675 0.6675 0.0003  5 Pm 3.63-3.66, 5 Sm 3.64-3.65, 2 Pr 3.66
Sm5 0.7492 0.7492 0.7498  6 Pm 3.64-3.66, 4 Sm 3.64-3.65, 2 Pr 3.66



Record 11
An optimized crystal structure of HoTmCu5. Source: Alexandria via LeMat-Bulk, functional PBE.

Total moment, μB per formula unit: 0.0
Formation energy, meV/atom: -219

Cell lengths 8.4631, 5.0343, 10.8564 Å; angles 90.00, 90.00, 90.00 degrees
With the nearest neighbours (Å) after each atom.
Fractional positions:
Ho1 0.1326 0.2500 0.1399  10 Cu 2.82-2.96
Ho2 0.3674 0.7500 0.6399  10 Cu 2.82-2.96
Ho3 0.6326 0.2500 0.3601  10 Cu 2.82-2.96
Ho4 0.8674 0.7500 0.8601  10 Cu 2.82-2.96
Tm1 0.2414 0.2500 0.4439  8 Cu 2.87-3.19
Tm2 0.2586 0.7500 0.9439  8 Cu 2.87-3.19
Tm3 0.7414 0.2500 0.0561  8 Cu 2.87-3.19
Tm4 0.7586 0.7500 0.5561  8 Cu 2.87-3.19
Cu1 0.0479 0.2500 0.8886  4 Cu 2.54-2.67, 1 Ho 2.82
Cu2 0.0690 0.0010 0.6821  7 Cu 2.51-2.63
Cu3 0.0690 0.4990 0.6821  7 Cu 2.51-2.63
Cu4 0.0840 0.7500 0.4802  5 Cu 2.50-2.53
Cu5 0.1957 0.7500 0.2670  7 Cu 2.50-2.67
Cu6 0.3043 0.2500 0.7670  7 Cu 2.50-2.67
Cu7 0.4160 0.2500 0.9802  5 Cu 2.50-2.53
Cu8 0.4310 0.5010 0.1821  7 Cu 2.51-2.63
Cu9 0.4310 0.9990 0.1821  7 Cu 2.51-2.63
Cu10 0.4521 0.7500 0.3886  4 Cu 2.54-2.67, 1 Ho 2.82
Cu11 0.5479 0.2500 0.6114  4 Cu 2.54-2.67, 1 Ho 2.82
Cu12 0.5690 0.0010 0.8179  7 Cu 2.51-2.63
Cu13 0.5690 0.4990 0.8179  7 Cu 2.51-2.63
Cu14 0.5840 0.7500 0.0198  5 Cu 2.50-2.53
Cu15 0.6957 0.7500 0.2330  7 Cu 2.50-2.67
Cu16 0.8043 0.2500 0.7330  7 Cu 2.50-2.67
Cu17 0.9160 0.2500 0.5198  5 Cu 2.50-2.53
Cu18 0.9310 0.5010 0.3179  7 Cu 2.51-2.63
Cu19 0.9310 0.9990 0.3179  7 Cu 2.51-2.63
Cu20 0.9521 0.7500 0.1114  4 Cu 2.54-2.67, 1 Ho 2.82



Record 12
An optimized crystal structure of ZnFe2Ag. Source: Alexandria via LeMat-Bulk, functional PBE.

Total moment, μB per formula unit: 4.9
Formation energy, meV/atom: 183

Cell lengths 8.6401, 8.6401, 8.6401 Å; angles 18.50, 18.50, 18.50 degrees
With the nearest neighbours (Å) after each atom.
Fractional positions:
Zn1 0.0000 0.0000 0.0000  3 Fe 2.64, 6 Zn 2.78, 3 Ag 2.83
Fe1 0.4845 0.4845 0.4845  3 Fe 2.38
Fe2 0.7489 0.7489 0.7489  3 Fe 2.38, 3 Zn 2.64
Ag1 0.2419 0.2419 0.2419  6 Ag 2.78, 3 Fe 2.81, 3 Zn 2.83